(1)
! Na2MoIrOs (GGA-PBE, optimized geometry); values from VASP
&SYSTEM
  ibrav = 0, nat = 5, ntyp = 4
/
ATOMIC_SPECIES
Na 22.99 Na.upf
Mo 95.94 Mo.upf
Ir 192.22 Ir.upf
Os 190.23 Os.upf
ATOMIC_POSITIONS crystal
Na 0.0000 0.5000 0.0000
Na 0.5000 0.0000 0.0000
Mo 0.0000 0.0000 0.0000
Ir 0.0000 0.0000 0.5000
Os 0.5000 0.5000 0.5000
CELL_PARAMETERS angstrom
5.1383 0.0000 0.0000
0.0000 5.1383 0.0000
0.0000 0.0000 4.6468
! Raw total energy (eV/atom): -4.367
! Fermi-level density of states (states/eV/atom): 1.238
! Symmetry: No. 123

(2)
! Na2SiMoIr (GGA-PBE, optimized geometry); values from VASP
&SYSTEM
  ibrav = 0, nat = 5, ntyp = 4
/
ATOMIC_SPECIES
Na 22.99 Na.upf
Si 28.09 Si.upf
Mo 95.94 Mo.upf
Ir 192.22 Ir.upf
ATOMIC_POSITIONS crystal
Na 0.0000 0.5000 0.0000
Na 0.5000 0.0000 0.0000
Si 0.0000 0.0000 0.5000
Mo 0.0000 0.0000 0.0000
Ir 0.5000 0.5000 0.5000
CELL_PARAMETERS angstrom
5.4304 0.0000 0.0000
0.0000 5.4304 0.0000
0.0000 0.0000 4.7018
! Raw total energy (eV/atom): -3.720
! Fermi-level density of states (states/eV/atom): 0.264
! Symmetry: No. 123
! Uncorrected formation energy (eV/f.u.): 9.15

Look up the Fermi-level density of states of the second one.
0.264 states/eV/atom

Please write out number 2 again, unchanged.
! Na2SiMoIr (GGA-PBE, optimized geometry); values from VASP
&SYSTEM
  ibrav = 0, nat = 5, ntyp = 4
/
ATOMIC_SPECIES
Na 22.99 Na.upf
Si 28.09 Si.upf
Mo 95.94 Mo.upf
Ir 192.22 Ir.upf
ATOMIC_POSITIONS crystal
Na 0.0000 0.5000 0.0000
Na 0.5000 0.0000 0.0000
Si 0.0000 0.0000 0.5000
Mo 0.0000 0.0000 0.0000
Ir 0.5000 0.5000 0.5000
CELL_PARAMETERS angstrom
5.4304 0.0000 0.0000
0.0000 5.4304 0.0000
0.0000 0.0000 4.7018
! Raw total energy (eV/atom): -3.720
! Fermi-level density of states (states/eV/atom): 0.264
! Symmetry: No. 123
! Uncorrected formation energy (eV/f.u.): 9.15

The lowest raw total energy belongs to which entry?
Na2MoIrOs

Repeat the second record exactly.
! Na2SiMoIr (GGA-PBE, optimized geometry); values from VASP
&SYSTEM
  ibrav = 0, nat = 5, ntyp = 4
/
ATOMIC_SPECIES
Na 22.99 Na.upf
Si 28.09 Si.upf
Mo 95.94 Mo.upf
Ir 192.22 Ir.upf
ATOMIC_POSITIONS crystal
Na 0.0000 0.5000 0.0000
Na 0.5000 0.0000 0.0000
Si 0.0000 0.0000 0.5000
Mo 0.0000 0.0000 0.0000
Ir 0.5000 0.5000 0.5000
CELL_PARAMETERS angstrom
5.4304 0.0000 0.0000
0.0000 5.4304 0.0000
0.0000 0.0000 4.7018
! Raw total energy (eV/atom): -3.720
! Fermi-level density of states (states/eV/atom): 0.264
! Symmetry: No. 123
! Uncorrected formation energy (eV/f.u.): 9.15